The following is a DFT calculation (PBE) of CdPPdO2 after structural relaxation.

The structure in POSCAR format:
```
CdPPdO2
1.0
3.936 0.000 0.000
0.000 3.936 0.000
0.000 0.000 5.074
Cd P Pd O
1 1 1 2
direct
0.000 0.000 0.000
0.500 0.500 0.000
0.500 0.500 0.500
0.000 0.500 0.500
0.500 0.000 0.500
```

calculated density	6.0	Mg/m³
uncorrected energy	-4.141	eV/atom


The following is a DFT calculation (PBE) of CdP2PdO after structural relaxation.

The structure in POSCAR format:
```
CdP2PdO
1.0
4.998 0.000 0.000
0.000 4.998 0.000
0.000 0.000 3.951
Cd P Pd O
1 2 1 1
direct
0.000 0.000 0.000
0.000 0.500 0.000
0.500 0.000 0.000
0.500 0.500 0.500
0.000 0.000 0.500
```

calculated density	5.0	Mg/m³
uncorrected energy	-3.362	eV/atom


The following is a DFT calculation (PBE) of CdP2PdO after structural relaxation.

The structure in POSCAR format:
```
CdP2PdO
1.0
4.873 0.000 0.000
0.000 4.873 0.000
0.000 0.000 3.838
Cd P Pd O
1 2 1 1
direct
0.000 0.000 0.000
0.000 0.500 0.500
0.500 0.000 0.500
0.500 0.500 0.500
0.500 0.500 0.000
```

calculated density	5.4	Mg/m³
uncorrected energy	-3.933	eV/atom


The following is a DFT calculation (PBE) of PmCdPO5 after structural relaxation.

The structure in POSCAR format:
```
PmCdPO5
1.0
4.028 -4.471 0.000
4.028 4.471 0.000
-3.830 0.000 7.318
Pm Cd P O
2 2 2 10
direct
0.000 0.000 0.000
0.000 0.000 0.500
0.333 0.667 0.750
0.667 0.333 0.250
0.344 0.656 0.250
0.656 0.344 0.750
0.106 0.894 0.750
0.204 0.710 0.380
0.289 0.377 0.138
0.290 0.796 0.120
0.377 0.289 0.638
0.623 0.711 0.362
0.710 0.204 0.880
0.711 0.623 0.862
0.796 0.290 0.620
0.894 0.106 0.250
```

calculated density	4.6	Mg/m³
uncorrected energy	-6.865	eV/atom


The following is a DFT calculation (PBE) of CdPPtO2 after structural relaxation.

The structure in POSCAR format:
```
CdPPtO2
1.0
3.911 0.000 0.000
0.000 3.911 0.000
0.000 0.000 5.184
Cd P Pt O
1 1 1 2
direct
0.000 0.000 0.000
0.500 0.500 0.000
0.500 0.500 0.500
0.000 0.500 0.500
0.500 0.000 0.500
```

calculated density	7.8	Mg/m³
uncorrected energy	-4.402	eV/atom


The following is a DFT calculation (PBE) of CdP2PtO after structural relaxation.

The structure in POSCAR format:
```
CdP2PtO
1.0
4.958 0.000 0.000
0.000 4.958 0.000
0.000 0.000 3.877
Cd P Pt O
1 2 1 1
direct
0.000 0.000 0.000
0.000 0.500 0.000
0.500 0.000 0.000
0.500 0.500 0.500
0.000 0.000 0.500
```

calculated density	6.7	Mg/m³
uncorrected energy	-3.415	eV/atom


The following is a DFT calculation (PBE) of CdPPtO2 after structural relaxation.

The structure in POSCAR format:
```
CdPPtO2
1.0
3.879 0.000 0.000
0.000 3.879 0.000
0.000 0.000 6.341
Cd P Pt O
1 1 1 2
direct
0.000 0.000 0.000
0.000 0.000 0.500
0.500 0.500 0.500
0.000 0.500 0.000
0.500 0.000 0.000
```

calculated density	6.4	Mg/m³
uncorrected energy	-3.662	eV/atom


The following is a DFT calculation (PBE) of CdP2PtO after structural relaxation.

The structure in POSCAR format:
```
CdP2PtO
1.0
4.925 0.000 0.000
0.000 4.925 0.000
0.000 0.000 3.803
Cd P Pt O
1 2 1 1
direct
0.000 0.000 0.000
0.000 0.500 0.500
0.500 0.000 0.500
0.500 0.500 0.500
0.500 0.500 0.000
```

calculated density	6.9	Mg/m³
uncorrected energy	-4.185	eV/atom


The following is a DFT calculation (PBE) of PuCdP2O8 after structural relaxation.

The structure in POSCAR format:
```
PuCdP2O8
1.0
5.412 0.000 0.000
-2.706 4.687 0.000
0.000 0.000 6.687
Pu Cd P O
1 1 2 8
direct
0.000 0.000 0.000
0.000 0.000 0.500
0.333 0.667 0.692
0.667 0.333 0.308
0.177 0.354 0.779
0.177 0.823 0.779
0.333 0.667 0.468
0.354 0.177 0.221
0.646 0.823 0.779
0.667 0.333 0.532
0.823 0.177 0.221
0.823 0.646 0.221
```

calculated density	5.3	Mg/m³
uncorrected energy	-7.660	eV/atom


The following is a DFT calculation (PBE) of RbCdPO2 after structural relaxation.

The structure in POSCAR format:
```
RbCdPO2
1.0
4.178 0.000 0.000
0.000 4.178 0.000
0.000 0.000 4.788
Rb Cd P O
1 1 1 2
direct
0.000 0.000 0.000
0.500 0.500 0.000
0.500 0.500 0.500
0.000 0.500 0.500
0.500 0.000 0.500
```

calculated density	5.2	Mg/m³
uncorrected energy	-3.704	eV/atom


The following is a DFT calculation (PBE) of RbCdPO2 after structural relaxation.

The structure in POSCAR format:
```
RbCdPO2
1.0
4.603 0.000 0.000
0.000 4.603 0.000
0.000 0.000 5.104
Rb Cd P O
1 1 1 2
direct
0.000 0.000 0.000
0.500 0.500 0.500
0.500 0.500 0.000
0.000 0.500 0.500
0.500 0.000 0.500
```

calculated density	4.0	Mg/m³
uncorrected energy	-3.277	eV/atom


The following is a DFT calculation (PBE) of RbCdP2O after structural relaxation.

The structure in POSCAR format:
```
RbCdP2O
1.0
5.174 0.000 0.000
0.000 5.174 0.000
0.000 0.000 4.549
Rb Cd P O
1 1 2 1
direct
0.000 0.000 0.000
0.500 0.500 0.500
0.000 0.500 0.500
0.500 0.000 0.500
0.500 0.500 0.000
```

calculated density	3.8	Mg/m³
uncorrected energy	-3.026	eV/atom


The following is a DFT calculation (PBE) of Rb2CdPO4 after structural relaxation.

The structure in POSCAR format:
```
Rb2CdPO4
1.0
0.000 5.948 11.192
2.915 0.000 11.192
2.915 5.948 0.000
Rb Cd P O
4 2 2 8
direct
0.057 0.057 0.693
0.307 0.307 0.943
0.693 0.693 0.057
0.943 0.943 0.307
0.125 0.125 0.125
0.875 0.875 0.875
0.375 0.375 0.375
0.625 0.625 0.625
0.100 0.572 0.494
0.335 0.494 0.572
0.428 0.900 0.665
0.494 0.335 0.100
0.506 0.665 0.900
0.572 0.100 0.335
0.665 0.506 0.428
0.900 0.428 0.506
```

calculated density	3.2	Mg/m³
uncorrected energy	-5.154	eV/atom


The following is a DFT calculation (PBE) of Rb2CdP2O7 after structural relaxation.

The structure in POSCAR format:
```
Rb2CdP2O7
1.0
5.452 0.000 0.000
0.000 10.082 0.000
-0.704 0.000 15.930
Rb Cd P O
8 4 8 28
direct
0.218 0.154 0.075
0.218 0.346 0.575
0.234 0.015 0.390
0.234 0.485 0.890
0.766 0.515 0.110
0.766 0.985 0.610
0.782 0.654 0.425
0.782 0.846 0.925
0.241 0.117 0.813
0.241 0.383 0.313
0.759 0.617 0.687
0.759 0.883 0.187
0.254 0.745 0.588
0.254 0.755 0.088
0.259 0.723 0.272
0.259 0.777 0.772
0.741 0.223 0.228
0.741 0.277 0.728
0.746 0.245 0.912
0.746 0.255 0.412
0.012 0.709 0.787
0.012 0.791 0.287
0.092 0.623 0.601
0.092 0.877 0.101
0.159 0.660 0.020
0.159 0.840 0.520
0.243 0.664 0.176
0.243 0.836 0.676
0.297 0.600 0.327
0.297 0.900 0.827
0.471 0.211 0.919
0.471 0.289 0.419
0.474 0.680 0.781
0.474 0.820 0.281
0.526 0.180 0.719
0.526 0.320 0.219
0.529 0.711 0.581
0.529 0.789 0.081
0.703 0.100 0.173
0.703 0.400 0.673
0.757 0.164 0.324
0.757 0.336 0.824
0.841 0.160 0.480
0.841 0.340 0.980
0.908 0.123 0.899
0.908 0.377 0.399
0.988 0.209 0.713
0.988 0.291 0.213
```

calculated density	3.5	Mg/m³
uncorrected energy	-6.164	eV/atom


The following is a DFT calculation (PBE) of RbCdPO2 after structural relaxation.

The structure in POSCAR format:
```
RbCdPO2
1.0
4.385 0.000 0.000
0.000 4.385 0.000
0.000 0.000 6.771
Rb Cd P O
1 1 1 2
direct
0.000 0.000 0.000
0.500 0.500 0.500
0.000 0.000 0.500
0.000 0.500 0.000
0.500 0.000 0.000
```

calculated density	3.3	Mg/m³
uncorrected energy	-2.395	eV/atom


The following is a DFT calculation (PBE) of Rb3CdP2O8 after structural relaxation.

The structure in POSCAR format:
```
Rb3CdP2O8
1.0
5.846 0.000 0.000
-2.923 5.063 0.000
0.000 0.000 7.916
Rb Cd P O
3 1 2 8
direct
0.000 0.000 0.000
0.333 0.667 0.715
0.667 0.333 0.285
0.000 0.000 0.500
0.333 0.667 0.266
0.667 0.333 0.734
0.187 0.374 0.328
0.187 0.813 0.328
0.333 0.667 0.071
0.374 0.187 0.672
0.626 0.813 0.328
0.667 0.333 0.929
0.813 0.187 0.672
0.813 0.626 0.672
```

calculated density	4.0	Mg/m³
uncorrected energy	-5.855	eV/atom


The following is a DFT calculation (PBE) of RbCdP2O after structural relaxation.

The structure in POSCAR format:
```
RbCdP2O
1.0
5.565 0.000 0.000
0.000 5.565 0.000
0.000 0.000 4.355
Rb Cd P O
1 1 2 1
direct
0.000 0.000 0.000
0.500 0.500 0.500
0.000 0.500 0.000
0.500 0.000 0.000
0.000 0.000 0.500
```

calculated density	3.4	Mg/m³
uncorrected energy	-2.028	eV/atom


The following is a DFT calculation (PBE) of RbCdPO4 after structural relaxation.

The structure in POSCAR format:
```
RbCdPO4
1.0
5.563 0.000 0.000
0.000 5.869 0.000
-2.182 0.000 7.089
Rb Cd P O
2 2 2 8
direct
0.197 0.250 0.433
0.803 0.750 0.567
0.292 0.250 0.967
0.708 0.750 0.033
0.257 0.750 0.156
0.743 0.250 0.844
0.080 0.750 0.951
0.096 0.750 0.296
0.441 0.539 0.189
0.441 0.961 0.189
0.559 0.039 0.811
0.559 0.461 0.811
0.904 0.250 0.704
0.920 0.250 0.049
```

calculated density	4.2	Mg/m³
uncorrected energy	-5.847	eV/atom


The following is a DFT calculation (PBE) of RbCdP2O6 after structural relaxation.

The structure in POSCAR format:
```
RbCdP2O6
1.0
4.847 -5.371 0.000
4.847 5.371 0.000
-1.711 0.000 6.601
Rb Cd P O
2 2 4 12
direct
0.103 0.897 0.750
0.897 0.103 0.250
0.317 0.683 0.250
0.683 0.317 0.750
0.199 0.392 0.771
0.392 0.199 0.271
0.608 0.801 0.729
0.801 0.608 0.229
0.001 0.282 0.692
0.214 0.581 0.911
0.275 0.362 0.299
0.282 0.001 0.192
0.362 0.275 0.799
0.419 0.786 0.589
0.581 0.214 0.411
0.638 0.725 0.201
0.718 0.999 0.808
0.725 0.638 0.701
0.786 0.419 0.089
0.999 0.718 0.308
```

calculated density	3.4	Mg/m³
uncorrected energy	-5.968	eV/atom


The following is a DFT calculation (PBE) of CdPRhO2 after structural relaxation.

The structure in POSCAR format:
```
CdPRhO2
1.0
3.853 0.000 0.000
0.000 3.853 0.000
0.000 0.000 5.173
Cd P Rh O
1 1 1 2
direct
0.000 0.000 0.000
0.500 0.500 0.000
0.500 0.500 0.500
0.000 0.500 0.500
0.500 0.000 0.500
```

calculated density	6.0	Mg/m³
uncorrected energy	-4.859	eV/atom